1.
Material: KSe2BrO
Method: DFT, PBE
State: relaxed

a b c (Å): 6.5966 6.5966 6.1782
angles (deg): 90.00 90.00 90.00
Site moments in Bohr magnetons follow the coordinates.
Fractional coordinates of all 5 atoms:
O 0.5000 0.5000 0.5000  1.48
K 0.0000 0.0000 0.0000  0.00
Se 0.0000 0.5000 0.0000  1.08
Se 0.5000 0.0000 0.0000  1.08
Br 0.0000 0.0000 0.5000  0.26

Summary:
* E_tot: -1.985 eV/atom
* distance to the lowest polymorph of the same formula: 1.235 eV per atom
* space group: P4/mmm, No. 123
* formation energy without anion corrections: 0.9541 eV/atom
* magnetic moment: 6.00 Bohr magnetons per cell

=====

2.
Material: ScVAs2Rh
Method: DFT, PBE
State: relaxed

a b c (Å): 4.6654 4.5790 4.6654
angles (deg): 90.00 90.00 90.00
Fractional coordinates of all 5 atoms:
Sc 0.5000 0.5000 0.5000
As 0.0000 0.0000 0.5000
As 0.5000 0.0000 0.0000
Rh 0.0000 0.5000 0.0000
V 0.0000 0.0000 0.0000

Summary:
* E_tot: -6.397 eV/atom
* energy of formation from the pure elements: 0.023 eV/atom
* space group: P4/mmm, No. 123
* magnetic moment: 0.01 Bohr magnetons per cell

=====

3.
Material: Pr4Bi2H
Method: DFT, PBE
State: relaxed

a b c (Å): 6.6293 6.7027 9.6921
angles (deg): 90.00 108.49 90.00
Fractional coordinates of all 14 atoms:
Pr 0.5354 0.5001 0.2983
Pr 0.1397 0.7500 0.9446
Pr 0.8603 0.2500 0.0554
Pr 0.5354 0.9999 0.2983
Pr 0.9351 0.2500 0.6599
Pr 0.4646 0.0001 0.7017
Pr 0.4646 0.4999 0.7017
Pr 0.0649 0.7500 0.3401
Bi 0.6913 0.7500 0.0271
Bi 0.3087 0.2500 0.9729
Bi 0.1482 0.2500 0.3982
Bi 0.8518 0.7500 0.6018
H 0.2891 0.7500 0.1981
H 0.7109 0.2500 0.8019

Summary:
* E_tot: -4.974 eV/atom
* distance to the lowest polymorph of the same formula: 0.032 eV per atom
* space group: P2_1/m, No. 11
* magnetic moment: 0.00 Bohr magnetons per cell